1.
Computed, not measured: an optimized crystal structure of SrSmPdPt at the PBE-GGA level of DFT.

Excess energy over the best structure of this formula in the dataset: 0.061 eV/atom

abc: 7.240 7.240 7.240
angles: 90.00 90.00 90.00
Space group F-43m (No. 216)
Inequivalent atoms, fractional coordinates:
Sr1 0.000 0.000 0.000 [4 per cell]
Sm1 0.000 0.000 0.500 [4 per cell]
Pd1 0.250 0.250 0.750 [4 per cell]
Pt1 0.250 0.250 0.250 [4 per cell]


2.
Computed, not measured: an optimized crystal structure of HgBF2 at the PBE-GGA level of DFT.

Energy relative to the elements, uncorrected: 0.63 eV/f.u.
Excess energy over the best structure of this formula in the dataset: 1.097 eV/atom

abc: 6.056 6.056 6.056
angles: 90.00 90.00 90.00
Space group Fm-3m (No. 225)
Inequivalent atoms, fractional coordinates:
Hg1 0.000 0.000 0.000 [4 per cell]
B1 0.000 0.000 0.500 [4 per cell]
F1 0.250 0.250 0.250 [8 per cell]


3.
Computed, not measured: an optimized crystal structure of PmBiI2 at the PBE-GGA level of DFT.

Energy relative to the elements, uncorrected: -2.54 eV/f.u.

abc: 3.9255 3.9255 34.0655
angles: 90.00 90.00 120.00
Space group R-3m (No. 166, hexagonal axes)
Inequivalent atoms, fractional coordinates:
Pm1 0.0000 0.0000 0.0000 [3 per cell]
Bi1 0.0000 0.0000 0.5000 [3 per cell]
I1 0.0000 0.0000 0.3974 [6 per cell]


4.
Computed, not measured: an optimized crystal structure of CaMgZnGa2 at the PBE-GGA level of DFT.

abc: 4.238 4.238 11.702
angles: 90.00 90.00 90.00
Space group I-4m2 (No. 119)
Inequivalent atoms, fractional coordinates:
Ca1 0.000 0.000 0.000 [2 per cell]
Mg1 0.000 0.500 0.250 [2 per cell]
Zn1 0.000 0.500 0.750 [2 per cell]
Ga1 0.000 0.000 0.393 [4 per cell]


5.
Computed, not measured: an optimized crystal structure of CaLa4Sn2 at the PBE-GGA level of DFT.

abc: 8.529 6.634 9.189
angles: 90.00 115.63 90.00
Space group P2_1/m (No. 11)
Inequivalent atoms, fractional coordinates:
Ca1 0.098 0.250 0.339 [2 per cell]
La1 0.177 0.750 0.119 [2 per cell]
La2 0.328 0.010 0.783 [4 per cell]
La3 0.474 0.750 0.519 [2 per cell]
Sn1 0.071 0.750 0.421 [2 per cell]
Sn2 0.272 0.250 0.082 [2 per cell]


6.
Computed, not measured: an optimized crystal structure of Hg3GeSb at the PBE-GGA level of DFT.

Energy relative to the elements, uncorrected: 3.16 eV/f.u.
Excess energy over the best structure of this formula in the dataset: 0.190 eV/atom

abc: 5.640 5.640 5.640
angles: 90.00 90.00 90.00
Space group Pm-3m (No. 221)
Inequivalent atoms, fractional coordinates:
Hg1 0.000 0.000 0.500 [3 per cell]
Ge1 0.500 0.500 0.500 [1 per cell]
Sb1 0.000 0.000 0.000 [1 per cell]


7.
Computed, not measured: an optimized crystal structure of YErCoNi at the PBE-GGA level of DFT.

Excess energy over the best structure of this formula in the dataset: 0.000 eV/atom

abc: 3.936 3.844 10.413
angles: 90.00 90.00 90.00
Space group Amm2 (No. 38)
Inequivalent atoms, fractional coordinates:
Y1 0.000 0.000 0.000 [2 per cell]
Er1 0.500 0.000 0.285 [2 per cell]
Co1 0.000 0.000 0.714 [2 per cell]
Ni1 0.500 0.000 0.579 [2 per cell]


8.
Computed, not measured: an optimized crystal structure of NiTeBr2 at the PBE-GGA level of DFT.

Energy relative to the elements, uncorrected: 1.18 eV/f.u.
Excess energy over the best structure of this formula in the dataset: 0.542 eV/atom

abc: 6.923 6.923 9.578
angles: 90.00 90.00 90.00
Space group I-42d (No. 122)
Inequivalent atoms, fractional coordinates:
Ni1 0.000 0.000 0.000 [4 per cell]
Te1 0.000 0.000 0.500 [4 per cell]
Br1 0.156 0.250 0.125 [8 per cell]


9.
Computed, not measured: an optimized crystal structure of NdZr2Ru at the PBE-GGA level of DFT.

Excess energy over the best structure of this formula in the dataset: 0.316 eV/atom

abc: 3.2976 3.2976 30.7010
angles: 90.00 90.00 120.00
Space group R-3m (No. 166, hexagonal axes)
Inequivalent atoms, fractional coordinates:
Nd1 0.0000 0.0000 0.0000 [3 per cell]
Zr1 0.0000 0.0000 0.1046 [6 per cell]
Ru1 0.0000 0.0000 0.5000 [3 per cell]


10.
Computed, not measured: an optimized crystal structure of CdGaSi2 at the PBE-GGA level of DFT.

Energy relative to the elements, uncorrected: 2.10 eV/f.u.
Excess energy over the best structure of this formula in the dataset: 0.037 eV/atom

abc: 6.182 6.182 10.222
angles: 90.00 90.00 90.00
Space group I-42d (No. 122)
Inequivalent atoms, fractional coordinates:
Cd1 0.000 0.000 0.000 [4 per cell]
Ga1 0.000 0.000 0.500 [4 per cell]
Si1 0.220 0.250 0.625 [8 per cell]


11.
Computed, not measured: an optimized crystal structure of Th6TeP2C3 at the PBE-GGA level of DFT.

Energy relative to the elements, uncorrected: -10.11 eV/f.u.

abc: 17.835 3.939 8.249
angles: 90.00 106.77 90.00
Space group C2/m (No. 12)
Inequivalent atoms, fractional coordinates:
Th1 0.009 0.000 0.212 [4 per cell]
Th2 0.161 0.500 0.097 [4 per cell]
Th3 0.180 0.500 0.569 [4 per cell]
Te1 0.000 0.500 0.500 [2 per cell]
P1 0.165 0.000 0.830 [4 per cell]
C1 0.000 0.500 0.000 [2 per cell]
C2 0.169 0.000 0.331 [4 per cell]


12.
Computed, not measured: an optimized crystal structure of EuPu2Ge at the PBE-GGA level of DFT.

Excess energy over the best structure of this formula in the dataset: 0.181 eV/atom

abc: 7.436 7.436 7.436
angles: 90.00 90.00 90.00
Space group Fm-3m (No. 225)
Inequivalent atoms, fractional coordinates:
Eu1 0.000 0.000 0.000 [4 per cell]
Pu1 0.250 0.250 0.250 [8 per cell]
Ge1 0.000 0.000 0.500 [4 per cell]


The E results, record by record, are as follows: -83.159; -40.357; -42.823; -25.162; -65.292; -6.481; -50.401; -44.372; -91.694; -50.769; -192.527; -174.223 eV per cell.